No. 1
{"formula": "NpNb3", "functional": "PBE", "state": "relaxed", "vol_a3_per_atom": 19.4, "rho_g_cm3": 11.0, "ef_ev_per_fu": 1.3, "sg": "Pmm2 (25)", "dos_ef_per_ev_cell": 5.10, "lattice_angstrom": [[2.728, 0.000, 0.000], [0.000, 5.028, 0.000], [0.000, 0.000, 5.652]], "species": ["Nb", "Np", "Nb", "Nb"], "frac_coords": [[0.000, 0.500, 0.299], [0.000, 0.000, 0.042], [0.500, 0.000, 0.528], [0.500, 0.500, 0.798]]}

No. 2
{"formula": "NpNb", "functional": "PBE", "state": "relaxed", "vol_a3_per_atom": 19.0, "rho_g_cm3": 14.4, "ef_ev_per_fu": 0.3, "sg": "P2_1/m (11)", "dos_ef_per_ev_cell": 7.47, "lattice_angstrom": [[-1.584, -1.580, 2.611], [2.229, -2.434, -0.121], [3.789, 3.405, 4.359]], "species": ["Np", "Nb", "Nb", "Np"], "frac_coords": [[0.250, 0.827, 0.900], [0.250, 0.736, 0.386], [0.750, 0.264, 0.614], [0.750, 0.173, 0.100]]}

No. 3
{"formula": "NpNb2", "functional": "PBE", "state": "relaxed", "vol_a3_per_atom": 19.2, "rho_g_cm3": 12.2, "ef_ev_per_fu": 1.0, "sg": "I4/mmm (139)", "dos_ef_per_ev_cell": 6.26, "lattice_angstrom": [[-2.725, 1.902, 0.675], [-1.137, -2.384, 2.128], [4.398, 2.436, 2.380]], "species": ["Np", "Nb", "Nb"], "frac_coords": [[0.500, 0.500, 0.000], [0.165, 0.165, 0.330], [0.835, 0.835, 0.670]]}

No. 4
{"formula": "NpNb3", "functional": "PBE", "state": "relaxed", "vol_a3_per_atom": 19.1, "rho_g_cm3": 11.2, "ef_ev_per_fu": 1.0, "sg": "Fm-3m (225)", "dos_ef_per_ev_cell": 9.47, "lattice_angstrom": [[-0.256, 3.978, 2.611], [-2.405, 0.000, 4.114], [2.351, 0.292, 4.134]], "species": ["Nb", "Nb", "Np", "Nb"], "frac_coords": [[0.750, 0.750, 0.750], [0.250, 0.250, 0.250], [0.500, 0.500, 0.500], [0.000, 0.000, 0.000]]}

No. 5
{"formula": "NpNb5", "functional": "PBE", "state": "relaxed", "vol_a3_per_atom": 18.6, "rho_g_cm3": 10.4, "ef_ev_per_fu": 0.9, "sg": "Cmmm (65)", "dos_ef_per_ev_cell": 8.68, "lattice_angstrom": [[3.300, 0.000, 0.000], [0.000, 4.855, 0.000], [0.000, -2.428, 6.972]], "species": ["Nb", "Nb", "Nb", "Nb", "Nb", "Np"], "frac_coords": [[0.500, 0.500, 0.000], [0.500, 0.163, 0.325], [0.500, 0.837, 0.675], [0.000, 0.671, 0.343], [0.000, 0.329, 0.657], [0.000, 0.000, 0.000]]}

No. 6
{"formula": "Np2NbO11", "functional": "PBE", "state": "relaxed", "vol_a3_per_atom": 13.6, "raw_formation_energy_ev_per_atom": -1.885, "rho_g_cm3": 6.5, "sg": "Ibam (72)", "dos_ef_per_ev_cell": 7.49, "lattice_angstrom": [[-4.070, 4.635, 5.043], [4.070, -4.635, 5.043], [4.070, 4.635, -5.043]], "species": ["O", "O", "O", "Np", "O", "O", "Np", "O", "O", "O", "Nb", "Np", "O", "O", "O", "O", "O", "O", "O", "O", "O", "O", "Nb", "O", "O", "O", "O", "Np"], "frac_coords": [[0.548, 0.936, 0.212], [0.500, 0.500, 0.000], [0.452, 0.064, 0.788], [0.797, 0.812, 0.609], [0.665, 0.595, 0.260], [0.335, 0.405, 0.740], [0.703, 0.312, 0.015], [0.532, 0.763, 0.570], [0.048, 0.836, 0.612], [0.308, 0.737, 0.769], [0.250, 0.750, 0.500], [0.203, 0.188, 0.391], [0.808, 0.039, 0.570], [0.952, 0.164, 0.388], [0.277, 0.664, 0.212], [0.468, 0.237, 0.430], [0.000, 0.000, 0.000], [0.032, 0.461, 0.769], [0.835, 0.095, 0.930], [0.692, 0.263, 0.231], [0.192, 0.961, 0.430], [0.223, 0.436, 0.388], [0.750, 0.250, 0.500], [0.968, 0.539, 0.231], [0.165, 0.905, 0.070], [0.723, 0.336, 0.788], [0.777, 0.564, 0.612], [0.297, 0.688, 0.985]]}

Number 1: E_tot -10.460 eV/atom. Number 2: E_tot -11.360 eV/atom. Number 3: E_tot -10.693 eV/atom. Number 4: E_tot -10.536 eV/atom. Number 5: E_tot -10.406 eV/atom. Number 6: E_tot -8.349 eV/atom.